1.
A plane-wave DFT calculation with PBE-GGA was carried out for a geometry-optimized UGa2Pb structure.

The space group is P4/mmm (No. 123) and the conventional cell measures 4.546, 4.546 and 4.288 Å, with angles of 90.00, 90.00 and 90.00 degrees. The asymmetric unit holds U at (0.000, 0.000, 0.000), Ga at (0.000, 0.500, 0.500) and Pb at (0.500, 0.500, 0.000).

The density of states at the Fermi level is 5.68 states/eV/f.u. The value obtained for the relative energy among the computed polymorphs is 0 meV per atom. The formation energy is -21 kJ/mol of formula units. For the magnetic moment, the calculation gives 2.38 Bohr magnetons per cell.


2.
A plane-wave DFT calculation with PBE-GGA was carried out for a geometry-optimized VGaPb2 structure.

The space group is I-42d (No. 122) and the conventional cell measures 4.469, 4.469 and 20.350 Å, with angles of 90.00, 90.00 and 90.00 degrees. The asymmetric unit holds V at (0.000, 0.000, 0.000), Ga at (0.000, 0.000, 0.500) and Pb at (0.248, 0.250, 0.125).

The density of states at the Fermi level is 4.33 states/eV/f.u. The formation energy is 215 kJ/mol of formula units. For the magnetic moment, the calculation gives 12.38 Bohr magnetons per cell.


3.
A plane-wave DFT calculation with PBE-GGA was carried out for a geometry-optimized VGaPb structure.

The space group is Fmmm (No. 69) and the conventional cell measures 5.394, 9.177 and 9.851 Å, with angles of 90.00, 90.00 and 90.00 degrees. The asymmetric unit holds V at (0.250, 0.250, 0.250), Ga at (0.000, 0.000, 0.211) and Pb at (0.000, 0.172, 0.500).

The density of states at the Fermi level is 1.73 states/eV/f.u. The formation energy is 38 kJ/mol of formula units. For the magnetic moment, the calculation gives 0.00 Bohr magnetons per cell.


4.
A plane-wave DFT calculation with PBE-GGA was carried out for a geometry-optimized VGa3Pb structure.

The space group is Pm-3m (No. 221) and the conventional cell measures 4.863, 4.863 and 4.863 Å, with angles of 90.00, 90.00 and 90.00 degrees. The asymmetric unit holds V at (0.000, 0.000, 0.000), Ga at (0.000, 0.000, 0.500) and Pb at (0.500, 0.500, 0.500).

The density of states at the Fermi level is 2.67 states/eV/f.u. The value obtained for the relative energy among the computed polymorphs is 0 meV per atom. The formation energy is 136 kJ/mol of formula units. For the magnetic moment, the calculation gives 0.00 Bohr magnetons per cell.